Density functional theory data (GGA-PBE) for a relaxed structure of AlSn2Br.

```
data_AlSn2Br
_symmetry_space_group_name_H-M 'P 1'
_symmetry_Int_Tables_number 1
_symmetry_space_group_name_Hall 'P 1'
_cell_length_a 8.4466
_cell_length_b 8.4466
_cell_length_c 8.4466
_cell_angle_alpha 135.52
_cell_angle_beta 135.52
_cell_angle_gamma 64.73
loop_
_atom_site_label
_atom_site_fract_x
_atom_site_fract_y
_atom_site_fract_z
_atom_site_occupancy
Al1 0.0000 0.0000 0.0000 1
Al2 0.7500 0.2500 0.5000 1
Sn1 0.0798 0.6250 0.9548 1
Sn2 0.3750 0.3298 0.4548 1
Sn3 0.6702 0.1250 0.0452 1
Sn4 0.8750 0.9202 0.5452 1
Br1 0.2500 0.7500 0.5000 1
Br2 0.5000 0.5000 0.0000 1
```

- density (Mg/m³) = 3.920
- ΔE_f (raw) (eV/atom) = 0.234

***

Density functional theory data (GGA-PBE) for a relaxed structure of La3BiPd.

```
data_La3BiPd
_symmetry_space_group_name_H-M 'P 1'
_symmetry_Int_Tables_number 1
_symmetry_space_group_name_Hall 'P 1'
_cell_length_a 5.6487
_cell_length_b 5.6487
_cell_length_c 5.6487
_cell_angle_alpha 90.00
_cell_angle_beta 90.00
_cell_angle_gamma 90.00
loop_
_atom_site_label
_atom_site_fract_x
_atom_site_fract_y
_atom_site_fract_z
_atom_site_occupancy
La1 0.0000 0.0000 0.5000 1
La2 0.0000 0.5000 0.0000 1
La3 0.5000 0.0000 0.0000 1
Bi1 0.5000 0.5000 0.5000 1
Pd1 0.0000 0.0000 0.0000 1
```

- density (Mg/m³) = 6.745
- energy relative to the elements (eV per atom) = -0.4708

***

Density functional theory data (GGA-PBE) for a relaxed structure of UCd2I8.

```
data_UCd2I8
_symmetry_space_group_name_H-M 'P 1'
_symmetry_Int_Tables_number 1
_symmetry_space_group_name_Hall 'P 1'
_cell_length_a 9.2225
_cell_length_b 9.2225
_cell_length_c 7.2591
_cell_angle_alpha 90.73
_cell_angle_beta 90.73
_cell_angle_gamma 63.46
loop_
_atom_site_label
_atom_site_fract_x
_atom_site_fract_y
_atom_site_fract_z
_atom_site_occupancy
U1 0.0000 0.0000 0.0000 1
Cd1 0.1814 0.1814 0.6200 1
Cd2 0.8186 0.8186 0.3800 1
I1 0.1472 0.7044 0.2439 1
I2 0.1665 0.1665 0.2205 1
I3 0.2956 0.8528 0.7561 1
I4 0.3486 0.3486 0.7091 1
I5 0.6514 0.6514 0.2909 1
I6 0.7044 0.1472 0.2439 1
I7 0.8335 0.8335 0.7795 1
I8 0.8528 0.2956 0.7561 1
```

- density (Mg/m³) = 4.444
- ΔE_f (raw) (eV/atom) = -0.637

***

Density functional theory data (GGA-PBE) for a relaxed structure of InMo2As.

```
data_InMo2As
_symmetry_space_group_name_H-M 'P 1'
_symmetry_Int_Tables_number 1
_symmetry_space_group_name_Hall 'P 1'
_cell_length_a 4.6408
_cell_length_b 4.6408
_cell_length_c 4.6408
_cell_angle_alpha 60.00
_cell_angle_beta 60.00
_cell_angle_gamma 60.00
loop_
_atom_site_label
_atom_site_fract_x
_atom_site_fract_y
_atom_site_fract_z
_atom_site_occupancy
In1 0.0000 0.0000 0.0000 1
Mo1 0.5000 0.5000 0.5000 1
Mo2 0.7500 0.7500 0.7500 1
As1 0.2500 0.2500 0.2500 1
```

- density (Mg/m³) = 8.967
- energy relative to the elements (eV per atom) = 0.4442

***

Density functional theory data (GGA-PBE) for a relaxed structure of ZrTl2AsPt.

```
data_ZrTl2AsPt
_symmetry_space_group_name_H-M 'P 1'
_symmetry_Int_Tables_number 1
_symmetry_space_group_name_Hall 'P 1'
_cell_length_a 5.1453
_cell_length_b 5.1453
_cell_length_c 5.2693
_cell_angle_alpha 90.00
_cell_angle_beta 90.00
_cell_angle_gamma 90.00
loop_
_atom_site_label
_atom_site_fract_x
_atom_site_fract_y
_atom_site_fract_z
_atom_site_occupancy
Zr1 0.0000 0.0000 0.0000 1
Tl1 0.0000 0.5000 0.5000 1
Tl2 0.5000 0.0000 0.5000 1
As1 0.5000 0.5000 0.0000 1
Pt1 0.0000 0.0000 0.5000 1
```

- density (Mg/m³) = 9.166
- energy relative to the elements (eV per atom) = 0.2552

***

Density functional theory data (GGA-PBE) for a relaxed structure of Al2PbClF.

```
data_Al2PbClF
_symmetry_space_group_name_H-M 'P 1'
_symmetry_Int_Tables_number 1
_symmetry_space_group_name_Hall 'P 1'
_cell_length_a 4.4076
_cell_length_b 4.4076
_cell_length_c 6.5224
_cell_angle_alpha 90.00
_cell_angle_beta 90.00
_cell_angle_gamma 90.00
loop_
_atom_site_label
_atom_site_fract_x
_atom_site_fract_y
_atom_site_fract_z
_atom_site_occupancy
Al1 0.0000 0.5000 0.0000 1
Al2 0.5000 0.0000 0.0000 1
Pb1 0.0000 0.0000 0.5000 1
Cl1 0.5000 0.5000 0.5000 1
F1 0.0000 0.0000 0.0000 1
```

- density (Mg/m³) = 4.136
- ΔE_f (raw) (eV/atom) = -0.329

***

Density functional theory data (GGA-PBE) for a relaxed structure of Ti6GaN2.

```
data_Ti6GaN2
_symmetry_space_group_name_H-M 'P 1'
_symmetry_Int_Tables_number 1
_symmetry_space_group_name_Hall 'P 1'
_cell_length_a 5.5264
_cell_length_b 5.5264
_cell_length_c 7.2674
_cell_angle_alpha 117.03
_cell_angle_beta 117.03
_cell_angle_gamma 43.47
loop_
_atom_site_label
_atom_site_fract_x
_atom_site_fract_y
_atom_site_fract_z
_atom_site_occupancy
Ti1 0.0257 0.0257 0.1864 1
Ti2 0.3035 0.3035 0.9208 1
Ti3 0.3301 0.3301 0.4276 1
Ti4 0.6699 0.6699 0.5724 1
Ti5 0.6965 0.6965 0.0792 1
Ti6 0.9743 0.9743 0.8136 1
Ga1 0.0000 0.0000 0.5000 1
N1 0.1835 0.1835 0.0877 1
N2 0.8165 0.8165 0.9123 1
```

- density (Mg/m³) = 4.799
- ΔE_f (raw) (eV/atom) = -0.732

***

Density functional theory data (GGA-PBE) for a relaxed structure of Ac6La5Ho2.

```
data_Ac6La5Ho2
_symmetry_space_group_name_H-M 'P 1'
_symmetry_Int_Tables_number 1
_symmetry_space_group_name_Hall 'P 1'
_cell_length_a 11.4809
_cell_length_b 24.2018
_cell_length_c 3.7781
_cell_angle_alpha 90.00
_cell_angle_beta 90.00
_cell_angle_gamma 90.00
loop_
_atom_site_label
_atom_site_fract_x
_atom_site_fract_y
_atom_site_fract_z
_atom_site_occupancy
Ac1 0.0206 0.1131 0.0000 1
Ac2 0.1453 0.3837 0.0000 1
Ac3 0.1655 0.6355 0.5000 1
Ac4 0.3345 0.1355 0.5000 1
Ac5 0.3547 0.8837 0.0000 1
Ac6 0.4794 0.6131 0.0000 1
Ac7 0.5206 0.3869 0.0000 1
Ac8 0.6453 0.1163 0.0000 1
Ac9 0.6655 0.8645 0.5000 1
Ac10 0.8345 0.3645 0.5000 1
Ac11 0.8547 0.6163 0.0000 1
Ac12 0.9794 0.8869 0.0000 1
La1 0.0000 0.5000 0.5000 1
La2 0.0843 0.2481 0.5000 1
La3 0.1653 0.9966 0.5000 1
La4 0.3347 0.4966 0.5000 1
La5 0.4157 0.7481 0.5000 1
La6 0.5000 0.0000 0.5000 1
La7 0.5843 0.2519 0.5000 1
La8 0.6653 0.5034 0.5000 1
La9 0.8347 0.0034 0.5000 1
La10 0.9157 0.7519 0.5000 1
Ho1 0.1657 0.7670 0.0000 1
Ho2 0.3343 0.2670 0.0000 1
Ho3 0.6657 0.7330 0.0000 1
Ho4 0.8343 0.2330 0.0000 1
```

- density (Mg/m³) = 7.550
- energy relative to the elements (eV per atom) = 0.1243

***

Density functional theory data (GGA-PBE) for a relaxed structure of NaBr3Cl.

```
data_NaBr3Cl
_symmetry_space_group_name_H-M 'P 1'
_symmetry_Int_Tables_number 1
_symmetry_space_group_name_Hall 'P 1'
_cell_length_a 5.4310
_cell_length_b 5.4310
_cell_length_c 5.4310
_cell_angle_alpha 90.00
_cell_angle_beta 90.00
_cell_angle_gamma 90.00
loop_
_atom_site_label
_atom_site_fract_x
_atom_site_fract_y
_atom_site_fract_z
_atom_site_occupancy
Na1 0.0000 0.0000 0.0000 1
Br1 0.0000 0.5000 0.5000 1
Br2 0.5000 0.0000 0.5000 1
Br3 0.5000 0.5000 0.0000 1
Cl1 0.5000 0.5000 0.5000 1
```

- density (Mg/m³) = 3.091
- ΔE_f (raw) (eV/atom) = -0.275

***

Density functional theory data (GGA-PBE) for a relaxed structure of Ce5Sm2Pb5.

```
data_Ce5Sm2Pb5
_symmetry_space_group_name_H-M 'P 1'
_symmetry_Int_Tables_number 1
_symmetry_space_group_name_Hall 'P 1'
_cell_length_a 7.9644
_cell_length_b 7.9644
_cell_length_c 11.3086
_cell_angle_alpha 113.47
_cell_angle_beta 113.47
_cell_angle_gamma 34.49
loop_
_atom_site_label
_atom_site_fract_x
_atom_site_fract_y
_atom_site_fract_z
_atom_site_occupancy
Ce1 0.0000 0.0000 0.0000 1
Ce2 0.1357 0.1357 0.7520 1
Ce3 0.1553 0.1553 0.5192 1
Ce4 0.8447 0.8447 0.4808 1
Ce5 0.8643 0.8643 0.2480 1
Sm1 0.4266 0.4266 0.7527 1
Sm2 0.5734 0.5734 0.2473 1
Pb1 0.2215 0.2215 0.2745 1
Pb2 0.3503 0.3503 0.0208 1
Pb3 0.5000 0.5000 0.5000 1
Pb4 0.6497 0.6497 0.9792 1
Pb5 0.7785 0.7785 0.7255 1
```

- density (Mg/m³) = 9.164
- energy relative to the elements (eV per atom) = -0.2691

***

Density functional theory data (GGA-PBE) for a relaxed structure of SrPmNi2As2.

```
data_SrPmNi2As2
_symmetry_space_group_name_H-M 'P 1'
_symmetry_Int_Tables_number 1
_symmetry_space_group_name_Hall 'P 1'
_cell_length_a 4.1100
_cell_length_b 4.1100
_cell_length_c 8.5025
_cell_angle_alpha 90.00
_cell_angle_beta 90.00
_cell_angle_gamma 120.00
loop_
_atom_site_label
_atom_site_fract_x
_atom_site_fract_y
_atom_site_fract_z
_atom_site_occupancy
Sr1 0.0000 0.0000 0.0000 1
Pm1 0.0000 0.0000 0.5000 1
Ni1 0.3333 0.6667 0.7307 1
Ni2 0.6667 0.3333 0.2693 1
As1 0.3333 0.6667 0.2630 1
As2 0.6667 0.3333 0.7370 1
```

- density (Mg/m³) = 6.673
- energy relative to the elements (eV per atom) = -0.9299

***

Density functional theory data (GGA-PBE) for a relaxed structure of SrSc2CrPt.

```
data_SrSc2CrPt
_symmetry_space_group_name_H-M 'P 1'
_symmetry_Int_Tables_number 1
_symmetry_space_group_name_Hall 'P 1'
_cell_length_a 4.9212
_cell_length_b 4.9212
_cell_length_c 4.5697
_cell_angle_alpha 90.00
_cell_angle_beta 90.00
_cell_angle_gamma 90.00
loop_
_atom_site_label
_atom_site_fract_x
_atom_site_fract_y
_atom_site_fract_z
_atom_site_occupancy
Sr1 0.0000 0.0000 0.0000 1
Sc1 0.0000 0.5000 0.0000 1
Sc2 0.5000 0.0000 0.0000 1
Cr1 0.0000 0.0000 0.5000 1
Pt1 0.5000 0.5000 0.5000 1
```

- density (Mg/m³) = 6.371
- energy relative to the elements (eV per atom) = 1.6352

***

Number 1: calculated volume 291.7 Å³/cell, magnetization 0.00 μB/atom. Number 2: calculated volume 180.2 Å³/cell, magnetization 0.00 μB/atom. Number 3: calculated volume 552.3 Å³/cell, magnetization 0.18 μB/atom. Number 4: calculated volume 70.7 Å³/cell, magnetization 0.00 μB/atom. Number 5: calculated volume 139.5 Å³/cell, magnetization 0.00 μB/atom. Number 6: calculated volume 126.7 Å³/cell, magnetization 0.00 μB/atom. Number 7: calculated volume 133.2 Å³/cell, magnetization 0.00 μB/atom. Number 8: calculated volume 1049.8 Å³/cell, magnetization 0.00 μB/atom. Number 9: calculated volume 160.2 Å³/cell, magnetization 0.00 μB/atom. Number 10: calculated volume 369.2 Å³/cell, magnetization 0.41 μB/atom. Number 11: calculated volume 124.4 Å³/cell, magnetization 0.00 μB/atom. Number 12: calculated volume 110.7 Å³/cell, magnetization 0.49 μB/atom.